Entry w
The following is a PBE calculation of a relaxed structure of CaReHg, from the Alexandria database.

```
data_CaReHg
_chemical_formula_sum 'Ca1 Re1 Hg1'
_cell_length_a 5.433
_cell_length_b 5.433
_cell_length_c 5.433
_cell_angle_alpha 149.75
_cell_angle_beta 130.04
_cell_angle_gamma 59.52
_symmetry_space_group_name_H-M 'P 1'
_symmetry_Int_Tables_number 1
loop_
_symmetry_equiv_pos_as_xyz
'x,y,z'
loop_
_atom_site_label
_atom_site_type_symbol
_atom_site_fract_x
_atom_site_fract_y
_atom_site_fract_z
_atom_site_occupancy
Ca1 Ca 0.000 0.000 0.000 1
Re1 Re 0.671 0.671 0.000 1
Hg1 Hg 0.323 0.323 0.000 1
```

**D(E_F)**: 1.0025 states/eV/atom
**Total magnetization**: 0.00 Bohr magnetons per cell
**Crystal system**: orthorhombic


Entry x
The following is a PBE calculation of a relaxed structure of CaReHg, from the Alexandria database.

```
data_CaReHg
_chemical_formula_sum 'Ca1 Re1 Hg1'
_cell_length_a 5.024
_cell_length_b 5.024
_cell_length_c 2.828
_cell_angle_alpha 90.00
_cell_angle_beta 90.00
_cell_angle_gamma 120.00
_symmetry_space_group_name_H-M 'P 1'
_symmetry_Int_Tables_number 1
loop_
_symmetry_equiv_pos_as_xyz
'x,y,z'
loop_
_atom_site_label
_atom_site_type_symbol
_atom_site_fract_x
_atom_site_fract_y
_atom_site_fract_z
_atom_site_occupancy
Ca1 Ca 0.000 0.000 0.000 1
Re1 Re 0.333 0.667 0.500 1
Hg1 Hg 0.667 0.333 0.500 1
```

**D(E_F)**: 0.9992 states/eV/atom
**Total magnetization**: 0.00 Bohr magnetons per cell
**Crystal system**: hexagonal


Result of the stability comparison: entry w is the least stable of them.


Entry w
The following is a PBE calculation of a relaxed structure of CaReHg, from the Alexandria database.

```
data_CaReHg
_chemical_formula_sum 'Ca1 Re1 Hg1'
_cell_length_a 3.065
_cell_length_b 3.065
_cell_length_c 7.538
_cell_angle_alpha 90.00
_cell_angle_beta 90.00
_cell_angle_gamma 120.00
_symmetry_space_group_name_H-M 'P 1'
_symmetry_Int_Tables_number 1
loop_
_symmetry_equiv_pos_as_xyz
'x,y,z'
loop_
_atom_site_label
_atom_site_type_symbol
_atom_site_fract_x
_atom_site_fract_y
_atom_site_fract_z
_atom_site_occupancy
Ca1 Ca 0.000 0.000 0.000 1
Re1 Re 0.333 0.667 0.676 1
Hg1 Hg 0.667 0.333 0.354 1
```

**D(E_F)**: 0.8368 states/eV/atom
**Total magnetization**: 0.00 Bohr magnetons per cell
**Crystal system**: trigonal


Entry x
The following is a PBE calculation of a relaxed structure of CaReHg, from the Alexandria database.

```
data_CaReHg
_chemical_formula_sum 'Ca1 Re1 Hg1'
_cell_length_a 7.479
_cell_length_b 7.479
_cell_length_c 7.479
_cell_angle_alpha 157.67
_cell_angle_beta 157.67
_cell_angle_gamma 31.78
_symmetry_space_group_name_H-M 'P 1'
_symmetry_Int_Tables_number 1
loop_
_symmetry_equiv_pos_as_xyz
'x,y,z'
loop_
_atom_site_label
_atom_site_type_symbol
_atom_site_fract_x
_atom_site_fract_y
_atom_site_fract_z
_atom_site_occupancy
Ca1 Ca 0.000 0.000 0.000 1
Re1 Re 0.664 0.664 0.000 1
Hg1 Hg 0.323 0.323 0.000 1
```

**D(E_F)**: 0.7019 states/eV/atom
**Total magnetization**: 0.00 Bohr magnetons per cell
**Crystal system**: tetragonal


Result of the stability comparison: entry w is the least stable of them.


Entry w
The following is a PBE calculation of a relaxed structure of CaReHg2, from the Alexandria database.

```
data_CaReHg2
_chemical_formula_sum 'Ca1 Re1 Hg2'
_cell_length_a 4.988
_cell_length_b 4.988
_cell_length_c 4.988
_cell_angle_alpha 60.00
_cell_angle_beta 60.00
_cell_angle_gamma 60.00
_symmetry_space_group_name_H-M 'P 1'
_symmetry_Int_Tables_number 1
loop_
_symmetry_equiv_pos_as_xyz
'x,y,z'
loop_
_atom_site_label
_atom_site_type_symbol
_atom_site_fract_x
_atom_site_fract_y
_atom_site_fract_z
_atom_site_occupancy
Ca1 Ca 0.000 0.000 0.000 1
Re1 Re 0.250 0.250 0.250 1
Hg1 Hg 0.500 0.500 0.500 1
Hg2 Hg 0.750 0.750 0.750 1
```

**D(E_F)**: 1.4132 states/eV/atom
**Total magnetization**: 2.19 Bohr magnetons per cell
**Crystal system**: cubic


Entry x
The following is a PBE calculation of a relaxed structure of CaReHg2, from the Alexandria database.

```
data_CaReHg2
_chemical_formula_sum 'Ca1 Re1 Hg2'
_cell_length_a 6.249
_cell_length_b 6.249
_cell_length_c 6.249
_cell_angle_alpha 150.87
_cell_angle_beta 130.46
_cell_angle_gamma 58.51
_symmetry_space_group_name_H-M 'P 1'
_symmetry_Int_Tables_number 1
loop_
_symmetry_equiv_pos_as_xyz
'x,y,z'
loop_
_atom_site_label
_atom_site_type_symbol
_atom_site_fract_x
_atom_site_fract_y
_atom_site_fract_z
_atom_site_occupancy
Ca1 Ca 0.000 0.000 0.000 1
Re1 Re 0.500 0.500 0.000 1
Hg1 Hg 0.288 0.788 0.500 1
Hg2 Hg 0.712 0.212 0.500 1
```

**D(E_F)**: 0.7987 states/eV/atom
**Total magnetization**: 0.00 Bohr magnetons per cell
**Crystal system**: orthorhombic


Entry y
The following is a PBE calculation of a relaxed structure of CaReHg2, from the Alexandria database.

```
data_CaReHg2
_chemical_formula_sum 'Ca1 Re1 Hg2'
_cell_length_a 5.906
_cell_length_b 5.906
_cell_length_c 5.274
_cell_angle_alpha 114.09
_cell_angle_beta 114.09
_cell_angle_gamma 29.83
_symmetry_space_group_name_H-M 'P 1'
_symmetry_Int_Tables_number 1
loop_
_symmetry_equiv_pos_as_xyz
'x,y,z'
loop_
_atom_site_label
_atom_site_type_symbol
_atom_site_fract_x
_atom_site_fract_y
_atom_site_fract_z
_atom_site_occupancy
Ca1 Ca 0.000 0.000 0.000 1
Re1 Re 0.745 0.745 0.408 1
Hg1 Hg 0.239 0.239 0.880 1
Hg2 Hg 0.476 0.476 0.467 1
```

**D(E_F)**: 0.7282 states/eV/atom
**Total magnetization**: 0.00 Bohr magnetons per cell
**Crystal system**: monoclinic


Result of the stability comparison: entry w is the least stable of them.


Entry w
The following is a PBE calculation of a relaxed structure of CaReHg2, from the Alexandria database.

```
data_CaReHg2
_chemical_formula_sum 'Ca1 Re1 Hg2'
_cell_length_a 3.012
_cell_length_b 4.974
_cell_length_c 5.776
_cell_angle_alpha 90.00
_cell_angle_beta 90.10
_cell_angle_gamma 90.00
_symmetry_space_group_name_H-M 'P 1'
_symmetry_Int_Tables_number 1
loop_
_symmetry_equiv_pos_as_xyz
'x,y,z'
loop_
_atom_site_label
_atom_site_type_symbol
_atom_site_fract_x
_atom_site_fract_y
_atom_site_fract_z
_atom_site_occupancy
Ca1 Ca 0.000 0.000 0.000 1
Re1 Re 0.499 0.500 0.755 1
Hg1 Hg 0.499 0.000 0.523 1
Hg2 Hg 0.502 0.500 0.246 1
```

**D(E_F)**: 0.9051 states/eV/atom
**Total magnetization**: 0.00 Bohr magnetons per cell
**Crystal system**: monoclinic


Entry x
The following is a PBE calculation of a relaxed structure of CaReHg2, from the Alexandria database.

```
data_CaReHg2
_chemical_formula_sum 'Ca1 Re1 Hg2'
_cell_length_a 3.025
_cell_length_b 4.556
_cell_length_c 6.093
_cell_angle_alpha 90.00
_cell_angle_beta 90.00
_cell_angle_gamma 90.00
_symmetry_space_group_name_H-M 'P 1'
_symmetry_Int_Tables_number 1
loop_
_symmetry_equiv_pos_as_xyz
'x,y,z'
loop_
_atom_site_label
_atom_site_type_symbol
_atom_site_fract_x
_atom_site_fract_y
_atom_site_fract_z
_atom_site_occupancy
Ca1 Ca 0.000 0.000 0.000 1
Re1 Re 0.500 0.500 0.729 1
Hg1 Hg 0.000 0.000 0.529 1
Hg2 Hg 0.500 0.500 0.249 1
```

**D(E_F)**: 0.8932 states/eV/atom
**Total magnetization**: 0.00 Bohr magnetons per cell
**Crystal system**: orthorhombic


Result of the stability comparison: entry x is the least stable of them.


Entry w
The following is a PBE calculation of a relaxed structure of CaHgRh3, from the Alexandria database.

```
data_CaHgRh3
_chemical_formula_sum 'Ca1 Hg1 Rh3'
_cell_length_a 4.780
_cell_length_b 4.780
_cell_length_c 4.780
_cell_angle_alpha 90.00
_cell_angle_beta 90.00
_cell_angle_gamma 90.00
_symmetry_space_group_name_H-M 'P 1'
_symmetry_Int_Tables_number 1
loop_
_symmetry_equiv_pos_as_xyz
'x,y,z'
loop_
_atom_site_label
_atom_site_type_symbol
_atom_site_fract_x
_atom_site_fract_y
_atom_site_fract_z
_atom_site_occupancy
Ca1 Ca 0.000 0.000 0.000 1
Hg1 Hg 0.500 0.500 0.500 1
Rh1 Rh 0.000 0.000 0.500 1
Rh2 Rh 0.000 0.500 0.000 1
Rh3 Rh 0.500 0.000 0.000 1
```

**D(E_F)**: 1.2114 states/eV/atom
**Total magnetization**: 1.54 Bohr magnetons per cell
**Crystal system**: cubic


Entry x
The following is a PBE calculation of a relaxed structure of CaHgRh3, from the Alexandria database.

```
data_CaHgRh3
_chemical_formula_sum 'Ca1 Hg1 Rh3'
_cell_length_a 4.985
_cell_length_b 4.985
_cell_length_c 4.985
_cell_angle_alpha 90.00
_cell_angle_beta 90.00
_cell_angle_gamma 90.00
_symmetry_space_group_name_H-M 'P 1'
_symmetry_Int_Tables_number 1
loop_
_symmetry_equiv_pos_as_xyz
'x,y,z'
loop_
_atom_site_label
_atom_site_type_symbol
_atom_site_fract_x
_atom_site_fract_y
_atom_site_fract_z
_atom_site_occupancy
Ca1 Ca 0.000 0.000 0.000 1
Hg1 Hg 0.500 0.500 0.500 1
Rh1 Rh 0.000 0.500 0.500 1
Rh2 Rh 0.500 0.000 0.500 1
Rh3 Rh 0.500 0.500 0.000 1
```

**D(E_F)**: 1.6966 states/eV/atom
**Total magnetization**: 1.36 Bohr magnetons per cell
**Crystal system**: cubic


Result of the stability comparison: entry w is the least stable of them.


Entry w
The following is a PBE calculation of a relaxed structure of Ca8Hg2Rh, from the Alexandria database.

```
data_Ca8Hg2Rh
_chemical_formula_sum 'Ca8 Hg2 Rh1'
_cell_length_a 9.695
_cell_length_b 9.695
_cell_length_c 7.165
_cell_angle_alpha 107.53
_cell_angle_beta 107.53
_cell_angle_gamma 32.44
_symmetry_space_group_name_H-M 'P 1'
_symmetry_Int_Tables_number 1
loop_
_symmetry_equiv_pos_as_xyz
'x,y,z'
loop_
_atom_site_label
_atom_site_type_symbol
_atom_site_fract_x
_atom_site_fract_y
_atom_site_fract_z
_atom_site_occupancy
Ca1 Ca 0.026 0.026 0.298 1
Ca2 Ca 0.207 0.207 0.801 1
Ca3 Ca 0.348 0.348 0.542 1
Ca4 Ca 0.409 0.409 0.083 1
Ca5 Ca 0.591 0.591 0.917 1
Ca6 Ca 0.652 0.652 0.458 1
Ca7 Ca 0.793 0.793 0.199 1
Ca8 Ca 0.974 0.974 0.702 1
Hg1 Hg 0.183 0.183 0.214 1
Hg2 Hg 0.817 0.817 0.786 1
Rh1 Rh 0.500 0.500 0.500 1
```

**D(E_F)**: 1.1039 states/eV/atom
**Total magnetization**: 0.00 Bohr magnetons per cell
**Crystal system**: monoclinic


Entry x
The following is a PBE calculation of a relaxed structure of Ca8Hg2Rh, from the Alexandria database.

```
data_Ca8Hg2Rh
_chemical_formula_sum 'Ca8 Hg2 Rh1'
_cell_length_a 9.046
_cell_length_b 9.046
_cell_length_c 9.046
_cell_angle_alpha 147.74
_cell_angle_beta 119.61
_cell_angle_gamma 70.14
_symmetry_space_group_name_H-M 'P 1'
_symmetry_Int_Tables_number 1
loop_
_symmetry_equiv_pos_as_xyz
'x,y,z'
loop_
_atom_site_label
_atom_site_type_symbol
_atom_site_fract_x
_atom_site_fract_y
_atom_site_fract_z
_atom_site_occupancy
Ca1 Ca 0.113 0.340 0.772 1
Ca2 Ca 0.122 0.122 0.000 1
Ca3 Ca 0.319 0.000 0.319 1
Ca4 Ca 0.432 0.660 0.772 1
Ca5 Ca 0.568 0.340 0.228 1
Ca6 Ca 0.681 0.000 0.681 1
Ca7 Ca 0.878 0.878 0.000 1
Ca8 Ca 0.887 0.660 0.228 1
Hg1 Hg 0.309 0.809 0.500 1
Hg2 Hg 0.691 0.191 0.500 1
Rh1 Rh 0.000 0.500 0.500 1
```

**D(E_F)**: 1.0264 states/eV/atom
**Total magnetization**: 0.00 Bohr magnetons per cell
**Crystal system**: orthorhombic


Result of the stability comparison: entry x is the least stable of them.